Below is a geometry-optimized TbHgRh structure, with properties calculated at the PBE level.

abc: 4.710 4.710 3.383
angles: 90.00 90.00 120.00
Fractional coordinates of all 3 atoms:
Tb  0.000  0.000  0.000
Hg  0.333  0.667  0.499
Rh  0.667  0.333  0.504

DFT formation energy	-0.43	eV/atom